13
Lattice="-4.9897 4.9897 2.8652 4.9897 -4.9897 2.8652 4.9897 4.9897 -2.8652" Properties=species:S:1:pos:R:3 comment="PBE-GGA SrMg8Ag4, optimized geometry" volume_a3_per_cell=285 formation_energy_ev_per_atom=-0.18 spacegroup=I4/mmm m_tot_mub_per_cell=0.00 energy_ev_per_cell=-28.2 pbc="T T T"
Sr 0.0000 0.0000 0.0000
Mg 3.4562 0.0000 0.0000
Mg 6.5232 0.0000 0.0000
Mg 4.9897 2.7993 0.0000
Mg 0.0000 3.4562 0.0000
Mg 2.7993 4.9897 0.0000
Mg 2.1904 0.0000 2.8652
Mg 0.0000 6.5232 0.0000
Mg 0.0000 2.1904 2.8652
Ag 2.4948 2.4948 -1.4326
Ag 2.4948 -2.4948 1.4326
Ag -2.4948 2.4948 1.4326
Ag 2.4948 2.4948 1.4326